No. 1
DFT (PBE-GGA) results for an optimized crystal structure of AcNd2Bi.

Lattice parameters (Å, degrees): 10.344 10.344 10.344 23.67 23.67 23.67
Element x y z (fractional)
Ac: 0.000 0.000 0.000
Nd: 0.234 0.234 0.234
Nd: 0.433 0.433 0.433
Bi: 0.834 0.834 0.834

Computed properties:
**Uncorrected energy**: -4.662 eV per atom
**ΔH_f (0 K)**: -0.28 eV per atom
**Energy above the most stable polymorph in this dataset**: 121 meV per atom
**Total magnetic moment**: 0.2 μB per formula unit

=====

No. 2
DFT (PBE-GGA) results for an optimized crystal structure of Pa2AlS6.

Lattice parameters (Å, degrees): 6.099 6.988 10.568 90.00 124.40 90.00
Element x y z (fractional)
Pa: 0.203 0.123 0.254
Pa: 0.203 0.377 0.754
Pa: 0.797 0.623 0.246
Pa: 0.797 0.877 0.746
Al: 0.500 0.000 0.000
Al: 0.500 0.500 0.500
S: 0.110 0.167 0.942
S: 0.110 0.333 0.442
S: 0.282 0.687 0.940
S: 0.282 0.813 0.440
S: 0.384 0.035 0.746
S: 0.384 0.465 0.246
S: 0.616 0.535 0.754
S: 0.616 0.965 0.254
S: 0.718 0.187 0.560
S: 0.718 0.313 0.060
S: 0.890 0.667 0.558
S: 0.890 0.833 0.058

Computed properties:
**Uncorrected energy**: -6.686 eV per atom
**Energy above the most stable polymorph in this dataset**: 0 meV per atom
**Raw formation energy**: -1408.1 meV per atom
**Total magnetic moment**: 1.1 μB per formula unit

=====

No. 3
DFT (PBE-GGA) results for an optimized crystal structure of PaWS4.

Lattice parameters (Å, degrees): 6.432 5.833 7.021 90.00 90.00 90.00
Element x y z (fractional)
Pa: 0.000 0.000 0.000
Pa: 0.000 0.500 0.500
W: 0.500 0.000 0.786
W: 0.500 0.500 0.286
S: 0.206 0.247 0.751
S: 0.206 0.253 0.251
S: 0.352 0.747 0.014
S: 0.352 0.753 0.514
S: 0.648 0.247 0.514
S: 0.648 0.253 0.014
S: 0.794 0.747 0.251
S: 0.794 0.753 0.751

Computed properties:
**Uncorrected energy**: -7.401 eV per atom
**Raw formation energy**: -907.4 meV per atom
**Total magnetic moment**: 1.0 μB per formula unit

=====

No. 4
DFT (PBE-GGA) results for an optimized crystal structure of La2TcPtBr.

Lattice parameters (Å, degrees): 5.617 5.617 4.460 90.00 90.00 90.00
Element x y z (fractional)
La: 0.000 0.500 0.000
La: 0.500 0.000 0.000
Tc: 0.000 0.000 0.500
Pt: 0.500 0.500 0.500
Br: 0.000 0.000 0.000

Computed properties:
**Uncorrected energy**: -5.410 eV per atom
**Raw formation energy**: 176.5 meV per atom
**Total magnetic moment**: 0.0 μB per formula unit

=====

No. 5
DFT (PBE-GGA) results for an optimized crystal structure of InNiW.

Lattice parameters (Å, degrees): 4.351 4.351 4.351 60.00 60.00 60.00
Element x y z (fractional)
In: 0.000 0.000 0.000
Ni: 0.500 0.500 0.500
W: 0.750 0.750 0.750

Computed properties:
**Uncorrected energy**: -6.076 eV per atom
**ΔH_f (0 K)**: 1.08 eV per atom
**Energy above the most stable polymorph in this dataset**: 867 meV per atom
**Total magnetic moment**: 0.0 μB per formula unit

=====

No. 6
DFT (PBE-GGA) results for an optimized crystal structure of Be2ReTe.

Lattice parameters (Å, degrees): 4.515 4.515 4.311 92.73 92.73 46.51
Element x y z (fractional)
Be: 0.196 0.196 0.030
Be: 0.804 0.804 0.970
Re: 0.500 0.500 0.000
Te: 0.000 0.000 0.500

Computed properties:
**Uncorrected energy**: -5.269 eV per atom
**Raw formation energy**: 491.6 meV per atom
**Total magnetic moment**: 0.0 μB per formula unit

=====

Q: Which formula does entry 4 have?
A: La2TcPtBr

=====

Q: Which formula does entry 5 have?
A: InNiW